--- one ---
Tb2Cu3Au | PBE-GGA | optimized geometry

Lattice parameters (Å, degrees): 3.853 3.892 16.047 90.00 90.00 90.00
Space group Imm2 (No. 44)
One atom of each set of equivalent atoms:
Tb 0.000 0.000 0.000
Tb 0.000 0.500 0.262
Cu 0.000 0.000 0.422
Cu 0.000 0.500 0.686
Cu 0.000 0.500 0.836
Au 0.000 0.000 0.584


--- two ---
Tb2Cu3Au | PBE-GGA | optimized geometry

Lattice parameters (Å, degrees): 7.142 8.686 15.163 90.00 90.00 90.00
Space group Fmmm (No. 69)
One atom of each set of equivalent atoms:
Tb 0.248 0.000 0.000
Tb 0.250 0.250 0.250
Cu 0.000 0.000 0.161
Cu 0.000 0.242 0.081
Au 0.000 0.000 0.333


Going by the computed energies, the most stable comes first: two, one.